[1]
Density functional theory data (PBE) for CdSb2Os after structural relaxation.

For the total energy, the calculation gives -4.81 eV per atom. The value obtained for the energy above the most stable polymorph in this dataset is 40.3 meV per atom. The value obtained for the magnetic moment is 0.000 μB/f.u. For the uncorrected formation energy, the calculation gives 0.29 eV/atom. Its volume is 280.3 Å³/cell.

a b c (Å): 3.2112 3.2112 31.3856
angles (deg): 90.00 90.00 120.00
Space group R-3m (No. 166, hexagonal axes)
One atom of each set of equivalent atoms:
Cd1 0.0000 0.0000 0.0000
Sb1 0.0000 0.0000 0.2317
Os1 0.0000 0.0000 0.5000

[2]
Density functional theory data (PBE) for Cd2SbOs after structural relaxation.

For the total energy, the calculation gives -3.84 eV per atom. The value obtained for the magnetic moment is 0.000 μB/f.u. For the uncorrected formation energy, the calculation gives 0.46 eV/atom. Its volume is 543.0 Å³/cell.

a b c (Å): 10.4585 10.4585 4.9644
angles (deg): 90.00 90.00 90.00
Space group I4_1/amd (No. 141, origin choice 2)
One atom of each set of equivalent atoms:
Cd1 0.0000 0.0000 0.0000
Sb1 0.0000 0.2500 0.3750
Os1 0.0000 0.2500 0.8750

[3]
Density functional theory data (PBE) for Cd3SbOs after structural relaxation.

For the total energy, the calculation gives -2.71 eV per atom. The value obtained for the energy above the most stable polymorph in this dataset is 0.0 meV per atom. The value obtained for the magnetic moment is 1.387 μB/f.u. For the uncorrected formation energy, the calculation gives 0.91 eV/atom. Its volume is 140.9 Å³/cell.

a b c (Å): 5.2037 5.2037 5.2037
angles (deg): 90.00 90.00 90.00
Space group Pm-3m (No. 221)
One atom of each set of equivalent atoms:
Cd1 0.0000 0.0000 0.5000
Sb1 0.5000 0.5000 0.5000
Os1 0.0000 0.0000 0.0000

[4]
Density functional theory data (PBE) for Cd2SbOs after structural relaxation.

For the total energy, the calculation gives -3.96 eV per atom. The value obtained for the magnetic moment is 0.000 μB/f.u. For the uncorrected formation energy, the calculation gives 0.34 eV/atom. Its volume is 187.2 Å³/cell.

a b c (Å): 3.0785 4.6856 12.9776
angles (deg): 90.00 90.00 90.00
Space group Imm2 (No. 44)
One atom of each set of equivalent atoms:
Cd1 0.0000 0.0000 0.0000
Cd2 0.0000 0.5000 0.1635
Sb1 0.0000 0.5000 0.8139
Os1 0.0000 0.0000 0.4779

[5]
Density functional theory data (PBE) for Cd2SbOs after structural relaxation.

For the total energy, the calculation gives -3.67 eV per atom. The value obtained for the magnetic moment is 0.003 μB/f.u. For the uncorrected formation energy, the calculation gives 0.63 eV/atom. Its volume is 248.1 Å³/cell.

a b c (Å): 3.0366 3.0366 31.0707
angles (deg): 90.00 90.00 120.00
Space group R-3m (No. 166, hexagonal axes)
One atom of each set of equivalent atoms:
Cd1 0.0000 0.0000 0.2398
Sb1 0.0000 0.0000 0.0000
Os1 0.0000 0.0000 0.5000

[6]
Density functional theory data (PBE) for CdSb2Os after structural relaxation.

For the total energy, the calculation gives -4.30 eV per atom. The value obtained for the energy above the most stable polymorph in this dataset is 546.5 meV per atom. The value obtained for the magnetic moment is 0.000 μB/f.u. For the uncorrected formation energy, the calculation gives 0.79 eV/atom. Its volume is 336.2 Å³/cell.

a b c (Å): 6.9535 6.9535 6.9535
angles (deg): 90.00 90.00 90.00
Space group F-43m (No. 216)
One atom of each set of equivalent atoms:
Cd1 0.0000 0.0000 0.0000
Sb1 0.0000 0.0000 0.5000
Sb2 0.2500 0.2500 0.2500
Os1 0.2500 0.2500 0.7500

[7]
Density functional theory data (PBE) for CdSb2Os after structural relaxation.

For the total energy, the calculation gives -4.53 eV per atom. The value obtained for the energy above the most stable polymorph in this dataset is 318.1 meV per atom. The value obtained for the magnetic moment is 0.000 μB/f.u. For the uncorrected formation energy, the calculation gives 0.56 eV/atom. Its volume is 330.3 Å³/cell.

a b c (Å): 6.9128 6.9128 6.9128
angles (deg): 90.00 90.00 90.00
Space group Fm-3m (No. 225)
One atom of each set of equivalent atoms:
Cd1 0.0000 0.0000 0.0000
Sb1 0.2500 0.2500 0.2500
Os1 0.0000 0.0000 0.5000

[8]
Density functional theory data (PBE) for Cd4SbOs after structural relaxation.

For the total energy, the calculation gives -2.54 eV per atom. The value obtained for the magnetic moment is 0.000 μB/f.u. For the uncorrected formation energy, the calculation gives 0.63 eV/atom. Its volume is 497.0 Å³/cell.

a b c (Å): 7.9213 7.9213 7.9213
angles (deg): 90.00 90.00 90.00
Space group F-43m (No. 216)
One atom of each set of equivalent atoms:
Cd1 0.1241 0.1241 0.1241
Sb1 0.0000 0.0000 0.5000
Os1 0.2500 0.2500 0.7500

[9]
Density functional theory data (PBE) for Cd2SbOs after structural relaxation.

For the total energy, the calculation gives -3.75 eV per atom. The value obtained for the magnetic moment is 0.000 μB/f.u. For the uncorrected formation energy, the calculation gives 0.55 eV/atom. Its volume is 156.6 Å³/cell.

a b c (Å): 4.3635 4.3635 8.2255
angles (deg): 90.00 90.00 90.00
Space group I-4m2 (No. 119)
One atom of each set of equivalent atoms:
Cd1 0.0000 0.0000 0.0000
Cd2 0.0000 0.5000 0.2500
Sb1 0.0000 0.0000 0.5000
Os1 0.0000 0.5000 0.7500

[10]
Density functional theory data (PBE) for CdSb2Os after structural relaxation.

For the total energy, the calculation gives -4.39 eV per atom. The value obtained for the energy above the most stable polymorph in this dataset is 464.9 meV per atom. The value obtained for the magnetic moment is 0.000 μB/f.u. For the uncorrected formation energy, the calculation gives 0.71 eV/atom. Its volume is 167.5 Å³/cell.

a b c (Å): 4.2793 4.2793 9.1467
angles (deg): 90.00 90.00 90.00
Space group I-4m2 (No. 119)
One atom of each set of equivalent atoms:
Cd1 0.0000 0.0000 0.0000
Sb1 0.0000 0.0000 0.5000
Sb2 0.0000 0.5000 0.2500
Os1 0.0000 0.5000 0.7500

[11]
Density functional theory data (PBE) for Cd2SbOs after structural relaxation.

For the total energy, the calculation gives -3.82 eV per atom. The value obtained for the magnetic moment is 0.000 μB/f.u. For the uncorrected formation energy, the calculation gives 0.47 eV/atom. Its volume is 176.8 Å³/cell.

a b c (Å): 3.1240 5.2057 10.8698
angles (deg): 90.00 90.00 90.00
Space group Cmm2 (No. 35)
One atom of each set of equivalent atoms:
Cd1 0.0000 0.0000 0.0000
Cd2 0.0000 0.5000 0.2575
Sb1 0.0000 0.0000 0.5883
Os1 0.0000 0.5000 0.7838

[12]
Density functional theory data (PBE) for CdSb2Os after structural relaxation.

For the total energy, the calculation gives -4.84 eV per atom. The value obtained for the energy above the most stable polymorph in this dataset is 15.5 meV per atom. The value obtained for the magnetic moment is 0.000 μB/f.u. For the uncorrected formation energy, the calculation gives 0.26 eV/atom. Its volume is 197.1 Å³/cell.

a b c (Å): 7.2474 3.2681 8.3282
angles (deg): 90.00 92.28 90.00
Space group C2/m (No. 12)
One atom of each set of equivalent atoms:
Cd1 0.0000 0.0000 0.0000
Sb1 0.2056 0.0000 0.6899
Os1 0.0000 0.5000 0.5000